(1)
BaWN3 | GGA-PBE | relaxed

It has space group C2/c (No. 15), with a = 11.541 Å, b = 11.380 Å, c = 5.856 Å, α = 90.00°, β = 98.63° and γ = 90.00°. The asymmetric unit holds Ba at (0.000, 0.123, 0.250), Ba at (0.000, 0.352, 0.750), W at (0.229, 0.426, 0.219), N at (0.118, 0.065, 0.690), N at (0.157, 0.451, 0.497) and N at (0.211, 0.284, 0.047).

Its calculated volume is 760 Å³ per cell. The calculation puts the formation energy from raw total energies at -0.49 eV/atom.


(2)
CePaPd2 | GGA-PBE | relaxed

It has space group P4/mmm (No. 123), with a = 3.556 Å, b = 3.556 Å, c = 7.091 Å, α = 90.00°, β = 90.00° and γ = 90.00°. The asymmetric unit holds Ce at (0.000, 0.000, 0.000), Pa at (0.000, 0.000, 0.500) and Pd at (0.500, 0.500, 0.275).

Its calculated volume is 90 Å³ per cell. Its formation energy is -0.472 eV per atom. The energy above the most stable polymorph in this dataset comes out at 0.0 meV per atom.


(3)
Cd5Rh3 | GGA-PBE | relaxed

It has space group Cmmm (No. 65), with a = 7.550 Å, b = 8.603 Å, c = 4.362 Å, α = 90.00°, β = 90.00° and γ = 90.00°. The asymmetric unit holds Cd at (0.000, 0.000, 0.000), Cd at (0.222, 0.500, 0.500), Cd at (0.250, 0.250, 0.000), Rh at (0.000, 0.229, 0.500) and Rh at (0.000, 0.500, 0.000).

Its calculated volume is 283 Å³ per cell. Its formation energy is -0.108 eV per atom. The energy above the most stable polymorph in this dataset comes out at 0.0 meV per atom.


(4)
Pr4NdEr2Sc | GGA-PBE | relaxed

It has space group P4/mmm (No. 123), with a = 5.929 Å, b = 5.929 Å, c = 7.528 Å, α = 90.00°, β = 90.00° and γ = 90.00°. The asymmetric unit holds Pr at (0.000, 0.500, 0.248), Nd at (0.000, 0.000, 0.000), Er at (0.000, 0.000, 0.500), Er at (0.500, 0.500, 0.500) and Sc at (0.500, 0.500, 0.000).

Its calculated volume is 265 Å³ per cell. Its formation energy is 0.102 eV per atom.


(5)
LiCaNi2 | GGA-PBE | relaxed

It has space group Cm (No. 8), with a = 7.042 Å, b = 4.058 Å, c = 5.432 Å, α = 90.00°, β = 115.33° and γ = 90.00°. The asymmetric unit holds Li at (0.000, 0.000, 0.000), Ca at (0.303, 0.500, 0.406), Ni at (0.097, 0.500, 0.791) and Ni at (0.268, 0.000, 0.803).

Its calculated volume is 140 Å³ per cell. Its formation energy is -0.047 eV per atom. The energy above the most stable polymorph in this dataset comes out at 0.0 meV per atom.


(6)
NbPdRu2 | GGA-PBE | relaxed

It has space group P4/mmm (No. 123), with a = 3.951 Å, b = 3.951 Å, c = 3.859 Å, α = 90.00°, β = 90.00° and γ = 90.00°. The asymmetric unit holds Nb at (0.000, 0.000, 0.000), Pd at (0.500, 0.500, 0.000) and Ru at (0.000, 0.500, 0.500).

Its calculated volume is 60 Å³ per cell. Its formation energy is -0.207 eV per atom. The energy above the most stable polymorph in this dataset comes out at 0.0 meV per atom.


(7)
MgNiAg2 | GGA-PBE | relaxed

It has space group R-3m (No. 166, hexagonal axes), with a = 2.9051 Å, b = 2.9051 Å, c = 27.1029 Å, α = 90.00°, β = 90.00° and γ = 120.00°. The asymmetric unit holds Mg at (0.0000, 0.0000, 0.0000), Ni at (0.0000, 0.0000, 0.5000) and Ag at (0.0000, 0.0000, 0.2454).

Its calculated volume is 198 Å³ per cell. Its formation energy is 0.124 eV per atom.


(8)
Zn2IN | GGA-PBE | relaxed

It has space group I-42d (No. 122), with a = 5.778 Å, b = 5.778 Å, c = 9.692 Å, α = 90.00°, β = 90.00° and γ = 90.00°. The asymmetric unit holds Zn at (0.080, 0.250, 0.125), I at (0.000, 0.000, 0.500) and N at (0.000, 0.000, 0.000).

Its calculated volume is 324 Å³ per cell. The calculation puts the formation energy from raw total energies at -0.19 eV/atom.


N(E_F) across the listed records, respectively: 0.00; 9.61; 6.68; 13.75; 5.22; 3.39; 4.84; 0.00 states/eV/cell.